No. 1
A relaxed structure of MgInMo2, computed with PBE.

Calculated formation energy ... 0.66 eV per atom
Total moment ... 0.000 Bohr magnetons per cell
Offset from the most stable computed form ... 2.13 eV/f.u.
Raw total energy ... -5.834 eV per atom

Lattice parameters (Å, degrees): 4.6358 4.6358 4.6358 60.00 60.00 60.00
Positions (direct):
Mo (0.2500, 0.2500, 0.2500)
Mo (0.7500, 0.7500, 0.7500)
Mg (0.0000, 0.0000, 0.0000)
In (0.5000, 0.5000, 0.5000)

No. 2
A relaxed structure of MgIn2Mo, computed with PBE.

Calculated formation energy ... 0.27 eV per atom
Total moment ... 0.777 Bohr magnetons per cell
Raw total energy ... -4.208 eV per atom

Lattice parameters (Å, degrees): 9.7000 9.7000 9.7000 18.77 18.77 18.77
Positions (direct):
In (0.0038, 0.0038, 0.0038)
In (0.4962, 0.4962, 0.4962)
Mg (0.2500, 0.2500, 0.2500)
Mo (0.7500, 0.7500, 0.7500)

No. 3
A relaxed structure of MgInMo2, computed with PBE.

Calculated formation energy ... 0.26 eV per atom
Total moment ... 0.000 Bohr magnetons per cell
Offset from the most stable computed form ... 0.50 eV/f.u.
Raw total energy ... -6.242 eV per atom

Lattice parameters (Å, degrees): 5.3719 5.3719 5.3719 143.07 127.39 66.00
Positions (direct):
In (0.5064, 0.5064, 0.0000)
Mg (0.2397, 0.7397, 0.5000)
Mo (0.9783, 0.9783, 0.0000)
Mo (0.7755, 0.2755, 0.5000)